(1)
Here is a relaxed Rb2UCoSe5 crystal from Alexandria via LeMat-Bulk. Energies are from PBE.

It has space group Cmc2_1 (No. 36), with a = 4.130 Å, b = 20.208 Å, c = 14.388 Å, α = 90.00°, β = 90.00° and γ = 90.00°. The asymmetric unit holds Rb at (0.000, 0.119, 0.000), Rb at (0.000, 0.133, 0.360), U at (0.000, 0.196, 0.683), Co at (0.000, 0.417, 0.094), Se at (0.000, 0.059, 0.663), Se at (0.000, 0.303, 0.053), Se at (0.000, 0.314, 0.312), Se at (0.000, 0.325, 0.678) and Se at (0.000, 0.482, 0.969).

Its total energy is -5.0654 eV per atom.

***

(2)
Here is a relaxed Rb3UCo2Se6 crystal from Alexandria via LeMat-Bulk. Energies are from PBE.

It has space group C2/m (No. 12), with a = 6.661 Å, b = 11.521 Å, c = 8.303 Å, α = 90.00°, β = 105.65° and γ = 90.00°. The asymmetric unit holds Rb at (0.000, 0.000, 0.000), Rb at (0.000, 0.339, 0.000), U at (0.000, 0.500, 0.500), Co at (0.000, 0.167, 0.500), Se at (0.194, 0.000, 0.673) and Se at (0.240, 0.318, 0.675).

Its total energy is -4.8293 eV per atom.

***

(3)
Here is a relaxed Rb2UCo2Se6 crystal from Alexandria via LeMat-Bulk. Energies are from PBE.

It has space group C2/m (No. 12), with a = 13.152 Å, b = 7.617 Å, c = 7.896 Å, α = 90.00°, β = 124.01° and γ = 90.00°. The asymmetric unit holds Rb at (0.241, 0.000, 0.227), U at (0.000, 0.000, 0.500), Co at (0.054, 0.500, 0.174), Se at (0.004, 0.247, 0.747) and Se at (0.246, 0.000, 0.729).

Its total energy is -5.0523 eV per atom.

***

(4)
Here is a relaxed RbV2CoSe8 crystal from Alexandria via LeMat-Bulk. Energies are from PBE.

It has space group R-3 (No. 148, hexagonal axes), with a = 6.2689 Å, b = 6.2689 Å, c = 28.7972 Å, α = 90.00°, β = 90.00° and γ = 120.00°. The asymmetric unit holds Rb at (0.0000, 0.0000, 0.0000), V at (0.0000, 0.0000, 0.2376), Co at (0.0000, 0.0000, 0.5000), Se at (0.0000, 0.0000, 0.3161) and Se at (0.0123, 0.6947, 0.5479).

Its total energy is -4.8713 eV per atom.

***

(5)
Here is a relaxed RbVCoSe3 crystal from Alexandria via LeMat-Bulk. Energies are from PBE.

It has space group P2_1/m (No. 11), with a = 8.885 Å, b = 3.676 Å, c = 9.745 Å, α = 90.00°, β = 116.58° and γ = 90.00°. The asymmetric unit holds Rb at (0.012, 0.250, 0.258), V at (0.468, 0.250, 0.169), Co at (0.480, 0.750, 0.396), Se at (0.264, 0.750, 0.144), Se at (0.334, 0.750, 0.554) and Se at (0.347, 0.250, 0.870).

Its total energy is -5.3294 eV per atom.

***

(6)
Here is a relaxed RbCoW2Se8 crystal from Alexandria via LeMat-Bulk. Energies are from PBE.

It has space group R-3 (No. 148, hexagonal axes), with a = 6.3966 Å, b = 6.3966 Å, c = 29.1009 Å, α = 90.00°, β = 90.00° and γ = 120.00°. The asymmetric unit holds Rb at (0.0000, 0.0000, 0.0000), Co at (0.0000, 0.0000, 0.5000), W at (0.0000, 0.0000, 0.2395), Se at (0.0000, 0.0000, 0.3192) and Se at (0.0067, 0.6984, 0.5496).

Its total energy is -5.4426 eV per atom.

***

(7)
Here is a relaxed RbCo3Si crystal from Alexandria via LeMat-Bulk. Energies are from PBE.

It has space group Pm-3m (No. 221), with a = 4.572 Å, b = 4.572 Å, c = 4.572 Å, α = 90.00°, β = 90.00° and γ = 90.00°. The asymmetric unit holds Rb at (0.000, 0.000, 0.000), Co at (0.000, 0.000, 0.500) and Si at (0.500, 0.500, 0.500).

Its total energy is -2.8870 eV per atom.

***

(8)
Here is a relaxed RbCoSi3 crystal from Alexandria via LeMat-Bulk. Energies are from PBE.

It has space group Pm-3m (No. 221), with a = 4.610 Å, b = 4.610 Å, c = 4.610 Å, α = 90.00°, β = 90.00° and γ = 90.00°. The asymmetric unit holds Rb at (0.000, 0.000, 0.000), Co at (0.500, 0.500, 0.500) and Si at (0.000, 0.500, 0.500).

Its total energy is -4.4026 eV per atom.

***

(9)
Here is a relaxed RbCoSi3 crystal from Alexandria via LeMat-Bulk. Energies are from PBE.

It has space group Pm-3m (No. 221), with a = 5.366 Å, b = 5.366 Å, c = 5.366 Å, α = 90.00°, β = 90.00° and γ = 90.00°. The asymmetric unit holds Rb at (0.000, 0.000, 0.000), Co at (0.500, 0.500, 0.500) and Si at (0.000, 0.000, 0.500).

Its total energy is -2.0954 eV per atom.

***

(10)
Here is a relaxed RbCo2Si crystal from Alexandria via LeMat-Bulk. Energies are from PBE.

It has space group I4_1/amd (No. 141, origin choice 2), with a = 4.921 Å, b = 4.921 Å, c = 15.410 Å, α = 90.00°, β = 90.00° and γ = 90.00°. The asymmetric unit holds Rb at (0.000, 0.250, 0.375), Co at (0.000, 0.000, 0.000) and Si at (0.000, 0.250, 0.875).

Its total energy is -4.5362 eV per atom.

***

(11)
Here is a relaxed RbCoSi2 crystal from Alexandria via LeMat-Bulk. Energies are from PBE.

It has space group I4_1/amd (No. 141, origin choice 2), with a = 6.210 Å, b = 6.210 Å, c = 11.275 Å, α = 90.00°, β = 90.00° and γ = 90.00°. The asymmetric unit holds Rb at (0.000, 0.250, 0.375), Co at (0.000, 0.250, 0.875) and Si at (0.000, 0.000, 0.000).

Its total energy is -4.7555 eV per atom.

***

(12)
Here is a relaxed RbCo3Si crystal from Alexandria via LeMat-Bulk. Energies are from PBE.

It has space group Pm-3m (No. 221), with a = 4.564 Å, b = 4.564 Å, c = 4.564 Å, α = 90.00°, β = 90.00° and γ = 90.00°. The asymmetric unit holds Rb at (0.000, 0.000, 0.000), Co at (0.000, 0.500, 0.500) and Si at (0.500, 0.500, 0.500).

Its total energy is -4.6881 eV per atom.